Here is crystalline TlOsBr2 at its relaxed geometry from Alexandria. Energies are from PBE.

Unit cell a=5.207 b=5.207 c=5.207 alpha=60.00 beta=60.00 gamma=60.00
Fractional positions:
1 Tl 0.000 0.000 0.000
2 Os 0.500 0.500 0.500
3 Br 0.250 0.250 0.250
4 Br 0.750 0.750 0.750

Properties
Total energy: -3.234 eV per atom
Density: 9.223 g cm⁻³
Magnetic moment: 0.80 μB/atom
Excess energy over the best structure of this formula in the dataset: 0.723 eV/atom